No. 1
Entry from Alexandria: a relaxed Na2HSe crystal (PBE-GGA).

Cell and atoms, written as CIF:
```
data_Na2HSe
_chemical_formula_sum 'Na4 H2 Se2'
_cell_length_a 6.665
_cell_length_b 6.665
_cell_length_c 6.072
_cell_angle_alpha 56.72
_cell_angle_beta 56.72
_cell_angle_gamma 90.00
_symmetry_space_group_name_H-M 'P 1'
_symmetry_Int_Tables_number 1
loop_
_symmetry_equiv_pos_as_xyz
'x,y,z'
loop_
_atom_site_label
_atom_site_type_symbol
_atom_site_fract_x
_atom_site_fract_y
_atom_site_fract_z
Se1 Se 0.750 0.250 0.500
Se2 Se 0.000 0.000 0.000
Na1 Na 0.215 0.625 0.250
H1 H 0.500 0.500 0.000
Na2 Na 0.535 0.125 0.250
Na3 Na 0.375 0.465 0.750
H2 H 0.250 0.750 0.500
Na4 Na 0.875 0.785 0.750
```

Summary:
* crystal system: tetragonal
* magnetic moment: 1.0 μB per formula unit
* distance to the lowest polymorph of the same formula: 1.89 eV per formula unit

No. 2
Entry from Alexandria: a relaxed LiNiB3 crystal (PBE-GGA).

Cell and atoms, written as CIF:
```
data_LiNiB3
_chemical_formula_sum 'Li1 Ni1 B3'
_cell_length_a 3.495
_cell_length_b 3.495
_cell_length_c 3.495
_cell_angle_alpha 90.00
_cell_angle_beta 90.00
_cell_angle_gamma 90.00
_symmetry_space_group_name_H-M 'P 1'
_symmetry_Int_Tables_number 1
loop_
_symmetry_equiv_pos_as_xyz
'x,y,z'
loop_
_atom_site_label
_atom_site_type_symbol
_atom_site_fract_x
_atom_site_fract_y
_atom_site_fract_z
B1 B 0.000 0.500 0.000
B2 B 0.000 0.000 0.500
Li1 Li 0.000 0.000 0.000
Ni1 Ni 0.500 0.500 0.500
B3 B 0.500 0.000 0.000
```

Summary:
* crystal system: cubic
* magnetic moment: 0.0 μB per formula unit
* distance to the lowest polymorph of the same formula: 5.24 eV per formula unit
* ΔH_f (0 K): 1850.7 meV per atom

No. 3
Entry from Alexandria: a relaxed PmHoCu2S4 crystal (PBE-GGA).

Cell and atoms, written as CIF:
```
data_PmHoCu2S4
_chemical_formula_sum 'Pm1 Ho1 Cu2 S4'
_cell_length_a 6.501
_cell_length_b 6.005
_cell_length_c 6.005
_cell_angle_alpha 67.01
_cell_angle_beta 57.23
_cell_angle_gamma 57.23
_symmetry_space_group_name_H-M 'P 1'
_symmetry_Int_Tables_number 1
loop_
_symmetry_equiv_pos_as_xyz
'x,y,z'
loop_
_atom_site_label
_atom_site_type_symbol
_atom_site_fract_x
_atom_site_fract_y
_atom_site_fract_z
Cu1 Cu 0.169 0.331 0.331
S1 S 0.554 0.467 0.921
Ho1 Ho 0.500 0.500 0.500
Cu2 Cu 0.831 0.669 0.669
S2 S 0.058 0.921 0.467
S3 S 0.942 0.533 0.079
S4 S 0.446 0.079 0.533
Pm1 Pm 0.000 0.000 0.000
```

Summary:
* formation energy from raw total energies: -1.200 eV/atom
* crystal system: orthorhombic
* magnetic moment: 0.0 μB per formula unit

No. 4
Entry from Alexandria: a relaxed Sc2BSb crystal (PBE-GGA).

Cell and atoms, written as CIF:
```
data_Sc2BSb
_chemical_formula_sum 'Sc2 B1 Sb1'
_cell_length_a 8.630
_cell_length_b 8.630
_cell_length_c 8.630
_cell_angle_alpha 23.80
_cell_angle_beta 23.80
_cell_angle_gamma 23.80
_symmetry_space_group_name_H-M 'P 1'
_symmetry_Int_Tables_number 1
loop_
_symmetry_equiv_pos_as_xyz
'x,y,z'
loop_
_atom_site_label
_atom_site_type_symbol
_atom_site_fract_x
_atom_site_fract_y
_atom_site_fract_z
B1 B 0.500 0.500 0.500
Sc1 Sc 0.118 0.118 0.118
Sc2 Sc 0.882 0.882 0.882
Sb1 Sb 0.000 0.000 0.000
```

Summary:
* formation energy from raw total energies: -0.155 eV/atom
* crystal system: trigonal
* magnetic moment: 0.2 μB per formula unit
* distance to the lowest polymorph of the same formula: 0.16 eV per formula unit

No. 5
Entry from Alexandria: a relaxed In4GaHg3 crystal (PBE-GGA).

Cell and atoms, written as CIF:
```
data_In4GaHg3
_chemical_formula_sum 'In8 Ga2 Hg6'
_cell_length_a 6.830
_cell_length_b 8.244
_cell_length_c 9.692
_cell_angle_alpha 71.46
_cell_angle_beta 123.96
_cell_angle_gamma 90.52
_symmetry_space_group_name_H-M 'P 1'
_symmetry_Int_Tables_number 1
loop_
_symmetry_equiv_pos_as_xyz
'x,y,z'
loop_
_atom_site_label
_atom_site_type_symbol
_atom_site_fract_x
_atom_site_fract_y
_atom_site_fract_z
In1 In 0.859 0.903 0.769
Ga1 Ga 0.161 0.547 0.464
In2 In 0.617 0.286 0.220
In3 In 0.388 0.673 0.153
Hg1 Hg 0.938 0.508 0.134
Hg2 Hg 0.497 0.250 0.504
Hg3 Hg 0.738 0.906 0.029
In4 In 0.141 0.097 0.231
In5 In 0.383 0.714 0.780
Hg4 Hg 0.503 0.750 0.496
Hg5 Hg 0.262 0.094 0.971
Ga2 Ga 0.839 0.453 0.536
Hg6 Hg 0.062 0.492 0.866
In6 In 0.612 0.327 0.847
In7 In 0.851 0.872 0.397
In8 In 0.149 0.128 0.603
```

Summary:
* crystal system: triclinic
* magnetic moment: 0.0 μB per formula unit
* distance to the lowest polymorph of the same formula: 0.02 eV per formula unit
* ΔH_f (0 K): 31.5 meV per atom

No. 6
Entry from Alexandria: a relaxed CsP2Rh crystal (PBE-GGA).

Cell and atoms, written as CIF:
```
data_CsP2Rh
_chemical_formula_sum 'Cs2 P4 Rh2'
_cell_length_a 7.158
_cell_length_b 7.158
_cell_length_c 6.776
_cell_angle_alpha 58.12
_cell_angle_beta 58.12
_cell_angle_gamma 90.00
_symmetry_space_group_name_H-M 'P 1'
_symmetry_Int_Tables_number 1
loop_
_symmetry_equiv_pos_as_xyz
'x,y,z'
loop_
_atom_site_label
_atom_site_type_symbol
_atom_site_fract_x
_atom_site_fract_y
_atom_site_fract_z
P1 P 0.375 0.519 0.750
P2 P 0.269 0.625 0.250
Rh1 Rh 0.250 0.750 0.500
Cs1 Cs 0.750 0.250 0.500
Cs2 Cs 0.000 0.000 0.000
P3 P 0.481 0.125 0.250
Rh2 Rh 0.500 0.500 0.000
P4 P 0.875 0.731 0.750
```

Summary:
* crystal system: tetragonal
* magnetic moment: 0.0 μB per formula unit
* distance to the lowest polymorph of the same formula: 0.00 eV per formula unit
* ΔH_f (0 K): -201.4 meV per atom

No. 7
Entry from Alexandria: a relaxed LiAuNO2 crystal (PBE-GGA).

Cell and atoms, written as CIF:
```
data_LiAuNO2
_chemical_formula_sum 'Li1 Au1 N1 O2'
_cell_length_a 3.640
_cell_length_b 3.640
_cell_length_c 3.799
_cell_angle_alpha 90.00
_cell_angle_beta 90.00
_cell_angle_gamma 90.00
_symmetry_space_group_name_H-M 'P 1'
_symmetry_Int_Tables_number 1
loop_
_symmetry_equiv_pos_as_xyz
'x,y,z'
loop_
_atom_site_label
_atom_site_type_symbol
_atom_site_fract_x
_atom_site_fract_y
_atom_site_fract_z
O1 O 0.500 0.000 0.000
Li1 Li 0.000 0.000 0.000
O2 O 0.000 0.500 0.000
Au1 Au 0.500 0.500 0.500
N1 N 0.000 0.000 0.500
```

Summary:
* formation energy from raw total energies: 1.136 eV/atom
* crystal system: tetragonal
* magnetic moment: 0.0 μB per formula unit

No. 8
Entry from Alexandria: a relaxed Sm3In2Ga4 crystal (PBE-GGA).

Cell and atoms, written as CIF:
```
data_Sm3In2Ga4
_chemical_formula_sum 'Sm3 In2 Ga4'
_cell_length_a 4.563
_cell_length_b 5.983
_cell_length_c 8.886
_cell_angle_alpha 109.37
_cell_angle_beta 90.00
_cell_angle_gamma 112.42
_symmetry_space_group_name_H-M 'P 1'
_symmetry_Int_Tables_number 1
loop_
_symmetry_equiv_pos_as_xyz
'x,y,z'
loop_
_atom_site_label
_atom_site_type_symbol
_atom_site_fract_x
_atom_site_fract_y
_atom_site_fract_z
Ga1 Ga 0.287 0.573 0.962
Ga2 Ga 0.713 0.427 0.038
Sm1 Sm 0.000 0.000 0.000
Sm2 Sm 0.653 0.306 0.677
Ga3 Ga 0.926 0.852 0.584
In1 In 0.370 0.740 0.710
Sm3 Sm 0.347 0.694 0.323
In2 In 0.630 0.260 0.290
Ga4 Ga 0.074 0.148 0.416
```

Summary:
* crystal system: monoclinic
* magnetic moment: 0.0 μB per formula unit
* ΔH_f (0 K): -545.9 meV per atom

No. 9
Entry from Alexandria: a relaxed NdInSi crystal (PBE-GGA).

Cell and atoms, written as CIF:
```
data_NdInSi
_chemical_formula_sum 'Nd1 In1 Si1'
_cell_length_a 4.274
_cell_length_b 4.274
_cell_length_c 5.282
_cell_angle_alpha 113.86
_cell_angle_beta 113.86
_cell_angle_gamma 90.00
_symmetry_space_group_name_H-M 'P 1'
_symmetry_Int_Tables_number 1
loop_
_symmetry_equiv_pos_as_xyz
'x,y,z'
loop_
_atom_site_label
_atom_site_type_symbol
_atom_site_fract_x
_atom_site_fract_y
_atom_site_fract_z
Nd1 Nd 0.615 0.615 0.231
In1 In 0.963 0.963 0.926
Si1 Si 0.272 0.272 0.543
```

Summary:
* formation energy from raw total energies: -0.092 eV/atom
* crystal system: tetragonal
* magnetic moment: 0.0 μB per formula unit

No. 10
Entry from Alexandria: a relaxed Be2HgPd2 crystal (PBE-GGA).

Cell and atoms, written as CIF:
```
data_Be2HgPd2
_chemical_formula_sum 'Be2 Hg1 Pd2'
_cell_length_a 3.206
_cell_length_b 3.206
_cell_length_c 7.422
_cell_angle_alpha 77.53
_cell_angle_beta 77.53
_cell_angle_gamma 90.00
_symmetry_space_group_name_H-M 'P 1'
_symmetry_Int_Tables_number 1
loop_
_symmetry_equiv_pos_as_xyz
'x,y,z'
loop_
_atom_site_label
_atom_site_type_symbol
_atom_site_fract_x
_atom_site_fract_y
_atom_site_fract_z
Hg1 Hg 0.000 0.000 0.000
Pd1 Pd 0.632 0.632 0.737
Be1 Be 0.250 0.750 0.500
Pd2 Pd 0.368 0.368 0.263
Be2 Be 0.750 0.250 0.500
```

Summary:
* crystal system: tetragonal
* magnetic moment: 0.0 μB per formula unit
* distance to the lowest polymorph of the same formula: 0.56 eV per formula unit
* ΔH_f (0 K): -194.9 meV per atom

No. 11
Entry from Alexandria: a relaxed PrMgNi2 crystal (PBE-GGA).

Cell and atoms, written as CIF:
```
data_PrMgNi2
_chemical_formula_sum 'Pr1 Mg1 Ni2'
_cell_length_a 3.889
_cell_length_b 3.955
_cell_length_c 5.384
_cell_angle_alpha 90.00
_cell_angle_beta 111.19
_cell_angle_gamma 90.00
_symmetry_space_group_name_H-M 'P 1'
_symmetry_Int_Tables_number 1
loop_
_symmetry_equiv_pos_as_xyz
'x,y,z'
loop_
_atom_site_label
_atom_site_type_symbol
_atom_site_fract_x
_atom_site_fract_y
_atom_site_fract_z
Mg1 Mg 0.721 0.000 0.980
Ni1 Ni 0.156 0.500 0.849
Pr1 Pr 0.433 0.500 0.406
Ni2 Ni 0.022 0.000 0.582
```

Summary:
* crystal system: orthorhombic
* magnetic moment: 0.0 μB per formula unit
* ΔH_f (0 K): -218.4 meV per atom

No. 12
Entry from Alexandria: a relaxed CuSb2Ir crystal (PBE-GGA).

Cell and atoms, written as CIF:
```
data_CuSb2Ir
_chemical_formula_sum 'Cu2 Sb4 Ir2'
_cell_length_a 5.971
_cell_length_b 5.971
_cell_length_c 7.190
_cell_angle_alpha 65.46
_cell_angle_beta 65.46
_cell_angle_gamma 90.00
_symmetry_space_group_name_H-M 'P 1'
_symmetry_Int_Tables_number 1
loop_
_symmetry_equiv_pos_as_xyz
'x,y,z'
loop_
_atom_site_label
_atom_site_type_symbol
_atom_site_fract_x
_atom_site_fract_y
_atom_site_fract_z
Sb1 Sb 0.875 0.878 0.750
Sb2 Sb 0.375 0.372 0.750
Cu1 Cu 0.250 0.750 0.500
Sb3 Sb 0.628 0.125 0.250
Cu2 Cu 0.500 0.500 0.000
Ir1 Ir 0.000 0.000 0.000
Sb4 Sb 0.122 0.625 0.250
Ir2 Ir 0.750 0.250 0.500
```

Summary:
* formation energy from raw total energies: 0.246 eV/atom
* crystal system: tetragonal
* magnetic moment: 0.0 μB per formula unit
* distance to the lowest polymorph of the same formula: 0.88 eV per formula unit